Entry from the Alexandria database: an optimized crystal structure of Ac2PrMg9 (PBE).

Lattice parameters (Å, degrees): 10.732 10.732 10.732 33.71 33.71 33.71
Sites, in units of the cell vectors:
Ac 0.142 0.142 0.142
Ac 0.858 0.858 0.858
Pr 0.000 0.000 0.000
Mg 0.079 0.582 0.582
Mg 0.334 0.334 0.334
Mg 0.418 0.418 0.921
Mg 0.418 0.921 0.418
Mg 0.500 0.500 0.500
Mg 0.582 0.079 0.582
Mg 0.582 0.582 0.079
Mg 0.666 0.666 0.666
Mg 0.921 0.418 0.418

Properties
energy of formation from the pure elements: -0.0719 eV per atom
total magnetic moment: 0.0 μB/cell
crystal system: trigonal
density of states at the Fermi level: 0.899 states/eV per atom